The following is a PBE-GGA calculation of In2WAu after structural relaxation, from Alexandria via LeMat-Bulk.

a = 3.6468 Å, b = 3.6468 Å, c = 5.9326 Å
α = 90.00°, β = 90.00°, γ = 90.00°
Atoms (fractional coordinates):
Au: 0.5000 0.5000 0.7530
In: 0.0000 0.0000 0.9828
In: 0.5000 0.5000 0.2794
W: 0.0000 0.0000 0.4848

Values from the calculation:
As for the density: 12.8 g/cm3. The value obtained for the energy of formation is 0.53 eV per atom. The space group is P4mm. As for the energy: -4.898 eV per atom.